The following is a DFT calculation (PBE) of a relaxed structure of AcY4Tm2.

abc: 7.156 8.630 8.930
angles: 114.33 101.32 101.68
Fractional coordinates of all 14 atoms:
1 Ac 0.000 0.000 0.000
2 Ac 0.412 0.443 0.160
3 Y 0.099 0.546 0.832
4 Y 0.189 0.290 0.441
5 Y 0.302 0.886 0.299
6 Y 0.501 0.990 0.999
7 Y 0.602 0.548 0.830
8 Y 0.708 0.114 0.705
9 Y 0.806 0.883 0.300
10 Y 0.829 0.704 0.569
11 Tm 0.210 0.108 0.702
12 Tm 0.328 0.711 0.572
13 Tm 0.689 0.284 0.431
14 Tm 0.914 0.450 0.172

The calculation puts the total magnetization at 0.0 μB per formula unit. The electronic total energy comes out at -77.13 eV for the cell shown. Its energy of formation is 0.0491 eV per atom.

The following is a DFT calculation (PBE) of a relaxed structure of Ac2Y2Tm.

abc: 6.571 7.061 9.607
angles: 107.97 90.07 117.71
Fractional coordinates of all 10 atoms:
1 Ac 0.030 0.390 0.152
2 Ac 0.359 0.392 0.649
3 Ac 0.641 0.608 0.351
4 Ac 0.970 0.610 0.848
5 Y 0.176 0.999 0.251
6 Y 0.432 0.192 0.947
7 Y 0.568 0.808 0.053
8 Y 0.824 0.001 0.749
9 Tm 0.242 0.810 0.550
10 Tm 0.758 0.190 0.450

The calculation puts the total magnetization at 0.0 μB per formula unit. The electronic total energy comes out at -50.60 eV for the cell shown. Its energy of formation is 0.0632 eV per atom.

The following is a DFT calculation (PBE) of a relaxed structure of Ac7Y2Tm.

abc: 9.701 9.701 6.077
angles: 90.00 90.00 117.30
Fractional coordinates of all 10 atoms:
1 Ac 0.000 0.000 0.000
2 Ac 0.196 0.437 0.000
3 Ac 0.263 0.737 0.500
4 Ac 0.437 0.196 0.000
5 Ac 0.563 0.804 0.000
6 Ac 0.737 0.263 0.500
7 Ac 0.804 0.563 0.000
8 Y 0.203 0.797 0.000
9 Y 0.797 0.203 0.000
10 Tm 0.500 0.500 0.500

The calculation puts the total magnetization at 0.0 μB per formula unit. The electronic total energy comes out at -39.68 eV for the cell shown. Its energy of formation is 0.6477 eV per atom.

The following is a DFT calculation (PBE) of a relaxed structure of Ac5Y4Tm.

abc: 3.903 3.903 24.827
angles: 90.00 90.00 90.00
Fractional coordinates of all 10 atoms:
1 Ac 0.000 0.000 0.000
2 Ac 0.000 0.000 0.201
3 Ac 0.000 0.000 0.402
4 Ac 0.000 0.000 0.598
5 Ac 0.000 0.000 0.799
6 Y 0.500 0.500 0.101
7 Y 0.500 0.500 0.302
8 Y 0.500 0.500 0.698
9 Y 0.500 0.500 0.899
10 Tm 0.500 0.500 0.500

The calculation puts the total magnetization at 0.0 μB per formula unit. The electronic total energy comes out at -50.39 eV for the cell shown. Its energy of formation is 0.0482 eV per atom.

Question: Which value of electronic total energy does entry 4 give?
Answer: -50.39 eV for the cell shown